Record 1
This record from Alexandria via LeMat-Bulk describes a relaxed Sc5P2C crystal. The functional is PBE.

Values from the calculation:
Calculated formation energy: -0.97 eV per atom
Energy relative to the lowest polymorph listed for this composition: 0 meV/atom
VASP energy: -7.430 eV per atom
Magnetization: 0.0 μB/cell

CIF file:
```
data_Sc5P2C
_cell_length_a 7.170
_cell_length_b 10.387
_cell_length_c 3.680
_cell_angle_alpha 90.00
_cell_angle_beta 90.00
_cell_angle_gamma 90.00
_symmetry_space_group_name_H-M 'P b a m'
_symmetry_Int_Tables_number 55
loop_
_symmetry_equiv_pos_as_xyz
'x,y,z'
'-x,-y,-z'
'-x,-y,z'
'x,y,-z'
'x+1/2,-y+1/2,-z'
'-x+1/2,y+1/2,z'
'-x+1/2,y+1/2,-z'
'x+1/2,-y+1/2,z'
loop_
_atom_site_label
_atom_site_fract_x
_atom_site_fract_y
_atom_site_fract_z
Sc1 0.000 0.000 0.000
Sc2 0.131 0.305 0.000
Sc3 0.182 0.563 0.500
P1 0.081 0.825 0.500
C1 0.000 0.500 0.000
```

***

Record 2
This record from Alexandria via LeMat-Bulk describes a relaxed Sc4P2C crystal. The functional is PBE.

Values from the calculation:
Calculated formation energy: -1.07 eV per atom
Energy relative to the lowest polymorph listed for this composition: 0 meV/atom
VASP energy: -7.554 eV per atom
Magnetization: 0.0 μB/cell

CIF file:
```
data_Sc4P2C
_cell_length_a 6.517
_cell_length_b 10.455
_cell_length_c 3.692
_cell_angle_alpha 90.00
_cell_angle_beta 90.00
_cell_angle_gamma 90.00
_symmetry_space_group_name_H-M 'P b a m'
_symmetry_Int_Tables_number 55
loop_
_symmetry_equiv_pos_as_xyz
'x,y,z'
'-x,-y,-z'
'-x,-y,z'
'x,y,-z'
'x+1/2,-y+1/2,-z'
'-x+1/2,y+1/2,z'
'-x+1/2,y+1/2,-z'
'x+1/2,-y+1/2,z'
loop_
_atom_site_label
_atom_site_fract_x
_atom_site_fract_y
_atom_site_fract_z
Sc1 0.127 0.196 0.000
Sc2 0.217 0.947 0.500
P1 0.085 0.681 0.500
C1 0.000 0.000 0.000
```

***

Record 3
This record from Alexandria via LeMat-Bulk describes a relaxed Sc5P2C crystal. The functional is PBE.

Values from the calculation:
Calculated formation energy: -0.75 eV per atom
Energy relative to the lowest polymorph listed for this composition: 221 meV/atom
VASP energy: -7.210 eV per atom
Magnetization: 0.0 μB/cell

CIF file:
```
data_Sc5P2C
_cell_length_a 5.026
_cell_length_b 11.241
_cell_length_c 11.749
_cell_angle_alpha 90.00
_cell_angle_beta 90.00
_cell_angle_gamma 90.00
_symmetry_space_group_name_H-M 'C m c m'
_symmetry_Int_Tables_number 63
_symmetry_space_group_name_Hall '-C 2c 2'
loop_
_atom_site_label
_atom_site_fract_x
_atom_site_fract_y
_atom_site_fract_z
Sc1 0.000 0.057 0.124
Sc2 0.000 0.293 0.750
Sc3 0.000 0.336 0.099
P1 0.000 0.166 0.567
C1 0.000 0.205 0.250
```

***

Record 4
This record from Alexandria via LeMat-Bulk describes a relaxed Sc6P2C crystal. The functional is PBE.

Values from the calculation:
Calculated formation energy: -0.74 eV per atom
Energy relative to the lowest polymorph listed for this composition: 132 meV/atom
VASP energy: -7.191 eV per atom
Magnetization: 0.0 μB/cell

CIF file:
```
data_Sc6P2C
_cell_length_a 5.847
_cell_length_b 5.847
_cell_length_c 10.998
_cell_angle_alpha 90.00
_cell_angle_beta 90.00
_cell_angle_gamma 90.00
_symmetry_space_group_name_H-M 'P 42/m n m'
_symmetry_Int_Tables_number 136
_symmetry_space_group_name_Hall '-P 4n 2n'
loop_
_atom_site_label
_atom_site_fract_x
_atom_site_fract_y
_atom_site_fract_z
Sc1 0.193 0.193 0.148
Sc2 0.220 0.220 0.500
P1 0.000 0.000 0.331
C1 0.000 0.000 0.000
```

***

Record 5
This record from Alexandria via LeMat-Bulk describes a relaxed ScPC2 crystal. The functional is PBE.

Values from the calculation:
Calculated formation energy: -0.09 eV per atom
VASP energy: -7.635 eV per atom
Magnetization: 0.0 μB/cell

CIF file:
```
data_ScPC2
_cell_length_a 5.227
_cell_length_b 5.227
_cell_length_c 6.649
_cell_angle_alpha 90.00
_cell_angle_beta 90.00
_cell_angle_gamma 90.00
_symmetry_space_group_name_H-M 'I -4 2 d'
_symmetry_Int_Tables_number 122
_symmetry_space_group_name_Hall 'I -4 2bw'
loop_
_atom_site_label
_atom_site_fract_x
_atom_site_fract_y
_atom_site_fract_z
Sc1 0.000 0.000 0.000
P1 0.000 0.000 0.500
C1 0.171 0.250 0.625
```

***

Record 6
This record from Alexandria via LeMat-Bulk describes a relaxed Sc2PC crystal. The functional is PBE.

Values from the calculation:
Calculated formation energy: -0.33 eV per atom
VASP energy: -7.153 eV per atom
Magnetization: 0.0 μB/cell

CIF file:
```
data_Sc2PC
_cell_length_a 3.3583
_cell_length_b 3.3583
_cell_length_c 22.6804
_cell_angle_alpha 90.00
_cell_angle_beta 90.00
_cell_angle_gamma 120.00
_symmetry_space_group_name_H-M 'R -3 m'
_symmetry_Int_Tables_number 166
_symmetry_space_group_name_Hall '-R 3 2"'
loop_
_atom_site_label
_atom_site_fract_x
_atom_site_fract_y
_atom_site_fract_z
Sc1 0.0000 0.0000 0.1140
P1 0.0000 0.0000 0.0000
C1 0.0000 0.0000 0.5000
```

***

Record 7
This record from Alexandria via LeMat-Bulk describes a relaxed Sc6P2C crystal. The functional is PBE.

Values from the calculation:
Calculated formation energy: -0.87 eV per atom
Energy relative to the lowest polymorph listed for this composition: 0 meV/atom
VASP energy: -7.323 eV per atom
Magnetization: 0.0 μB/cell

CIF file:
```
data_Sc6P2C
_cell_length_a 5.749
_cell_length_b 6.890
_cell_length_c 10.116
_cell_angle_alpha 90.00
_cell_angle_beta 123.21
_cell_angle_gamma 90.00
_symmetry_space_group_name_H-M 'P 1 21/c 1'
_symmetry_Int_Tables_number 14
loop_
_symmetry_equiv_pos_as_xyz
'x,y,z'
'-x,-y,-z'
'-x,y+1/2,-z+1/2'
'x,-y+1/2,z+1/2'
loop_
_atom_site_label
_atom_site_fract_x
_atom_site_fract_y
_atom_site_fract_z
Sc1 0.119 0.166 0.446
Sc2 0.303 0.696 0.447
Sc3 0.372 0.032 0.248
P1 0.191 0.115 0.753
C1 0.500 0.000 0.500
```

***

Record 8
This record from Alexandria via LeMat-Bulk describes a relaxed ScP2C crystal. The functional is PBE.

Values from the calculation:
Calculated formation energy: -0.04 eV per atom
VASP energy: -6.634 eV per atom
Magnetization: 0.0 μB/cell

CIF file:
```
data_ScP2C
_cell_length_a 5.766
_cell_length_b 5.766
_cell_length_c 7.155
_cell_angle_alpha 90.00
_cell_angle_beta 90.00
_cell_angle_gamma 90.00
_symmetry_space_group_name_H-M 'I -4 2 d'
_symmetry_Int_Tables_number 122
_symmetry_space_group_name_Hall 'I -4 2bw'
loop_
_atom_site_label
_atom_site_fract_x
_atom_site_fract_y
_atom_site_fract_z
Sc1 0.000 0.000 0.000
P1 0.148 0.250 0.625
C1 0.000 0.000 0.500
```

***

Q: Look up the magnetization of the seventh one.
A: 0.0 μB/cell